A plane-wave DFT calculation with PBE was carried out for an optimized crystal structure of LaSnAs2Se.

Energy relative to the elements, uncorrected, eV per atom: -0.19

a = 5.1779 Å, b = 5.1779 Å, c = 5.3291 Å
α = 90.00°, β = 90.00°, γ = 90.00°
Fractional positions:
La  0.0000  0.0000  0.0000
Sn  0.5000  0.5000  0.5000
As  0.0000  0.5000  0.5000
As  0.5000  0.0000  0.5000
Se  0.5000  0.5000  0.0000